# 1
Here is a geometry-optimized Co2NiRh structure from Alexandria via LeMat-Bulk. Energies are from PBEsol.

abc: 8.3601 2.5546 4.3301
angles: 90.00 100.54 90.00
Closest atoms and distances in Å follow each position.
Space group C2/m (No. 12)
Symmetry-distinct sites (fractional):
Co 0.2482 0.0000 0.2408 (multiplicity 4)  6 Co 2.45-2.58, 3 Ni 2.50-2.51, 3 Rh 2.53-2.54
Ni 0.0000 0.5000 0.0000 (multiplicity 2)  6 Co 2.50-2.51, 4 Rh 2.51, 2 Ni 2.55
Rh 0.0000 0.0000 0.5000 (multiplicity 2)  4 Ni 2.51, 6 Co 2.53-2.54, 2 Rh 2.55

Values from the calculation:
Formation energy from the elements ... 61 meV/atom
Total magnetic moment ... 4.681 μB/f.u.

***

# 2
Here is a geometry-optimized CoNi6Rh structure from Alexandria via LeMat-Bulk. Energies are from PBEsol.

abc: 7.0202 9.9460 9.9446
angles: 90.00 90.00 90.00
Closest atoms and distances in Å follow each position.
Space group Cmmm (No. 65)
Symmetry-distinct sites (fractional):
Co 0.0000 0.0000 0.2481 (multiplicity 4)  12 Ni 2.44-2.51
Co 0.0000 0.2514 0.0000 (multiplicity 4)  12 Ni 2.44-2.50
Ni 0.0000 0.0000 0.0000 (multiplicity 2)  8 Ni 2.45, 4 Co 2.47-2.50
Ni 0.0000 0.0000 0.5000 (multiplicity 2)  8 Ni 2.47, 2 Rh 2.50, 2 Co 2.51
Ni 0.0000 0.2474 0.2449 (multiplicity 8)  8 Ni 2.43-2.54, 2 Co 2.44-2.46, 2 Rh 2.51-2.54
Ni 0.0000 0.5000 0.0000 (multiplicity 2)  2 Rh 2.47, 2 Co 2.47, 8 Ni 2.50
Ni 0.0000 0.5000 0.5000 (multiplicity 2)  4 Rh 2.47-2.50, 8 Ni 2.52
Ni 0.2451 0.1237 0.3714 (multiplicity 16)  1 Co 2.44, 8 Ni 2.46-2.56, 3 Rh 2.49-2.53
Ni 0.2457 0.1264 0.1218 (multiplicity 16)  8 Ni 2.42-2.51, 3 Co 2.45-2.48, 1 Rh 2.52
Rh 0.0000 0.2516 0.5000 (multiplicity 4)  12 Ni 2.47-2.54
Rh 0.0000 0.5000 0.2485 (multiplicity 4)  12 Ni 2.47-2.52

Values from the calculation:
Formation energy from the elements ... 32 meV/atom
Total magnetic moment ... 6.397 μB/f.u.

***

Number 1: DFT total energy -59.05 eV for the cell shown. Number 2: DFT total energy -420.49 eV for the cell shown.